## BeNiAs2 (GGA-PBE)

Data for a relaxed structure of BeNiAs2.

Output
- Volume: 14.2 Å³/atom
- Energy of formation from the pure elements: 0.99 eV/f.u.
- DOS(E_F): 1.6 states/eV per cell
- SG: P4/mmm, No. 123

Structure (POSCAR):
```
BeNiAs2
1.0
3.301 0.000 0.000
0.000 3.301 0.000
0.000 0.000 5.202
Be Ni As
1 1 2
Cartesian
0.000 0.000 0.000
0.000 0.000 2.601
1.651 1.651 1.290
1.651 1.651 3.912
```



## NaNb2Cl (GGA-PBE)

Data for a relaxed structure of NaNb2Cl.

Output
- Volume: 18.6 Å³/atom
- Raw formation energy: 1.26 eV/atom
- DOS(E_F): 4.2 states/eV per cell
- Polymorph energy (0 for the lowest one): 3.65 eV per formula unit
- SG: Fm-3m, No. 225

Structure (POSCAR):
```
NaNb2Cl
1.0
0.000 3.337 3.337
3.337 0.000 3.337
3.337 3.337 0.000
Na Nb Cl
1 2 1
Cartesian
0.000 0.000 0.000
1.669 1.669 1.669
5.006 5.006 5.006
3.337 3.337 3.337
```



## BaAlNiOs2 (GGA-PBE)

Data for a relaxed structure of BaAlNiOs2.

Output
- Volume: 20.7 Å³/atom
- Energy of formation from the pure elements: 5.16 eV/f.u.
- DOS(E_F): 4.8 states/eV per cell
- SG: P4/mmm, No. 123

Structure (POSCAR):
```
BaAlNiOs2
1.0
4.717 0.000 0.000
0.000 4.717 0.000
0.000 0.000 4.653
Ba Al Ni Os
1 1 1 2
Cartesian
0.000 0.000 0.000
2.358 2.358 2.327
2.358 2.358 0.000
0.000 2.358 2.327
2.358 0.000 2.327
```



## BeTl2Te (GGA-PBE)

Data for a relaxed structure of BeTl2Te.

Output
- Volume: 27.5 Å³/atom
- Raw formation energy: 0.18 eV/atom
- DOS(E_F): 1.6 states/eV per cell
- Polymorph energy (0 for the lowest one): 0.66 eV per formula unit
- SG: P4mm, No. 99

Structure (POSCAR):
```
BeTl2Te
1.0
3.707 0.000 0.000
0.000 3.707 0.000
0.000 0.000 8.007
Be Tl Te
1 2 1
Cartesian
0.000 0.000 0.000
0.000 0.000 2.620
1.854 1.854 4.641
1.854 1.854 7.762
```



## LaBiSb2Pt (GGA-PBE)

Data for a relaxed structure of LaBiSb2Pt.

Output
- Volume: 30.8 Å³/atom
- Raw formation energy: -0.23 eV/atom
- DOS(E_F): 4.3 states/eV per cell
- SG: P4/mmm, No. 123

Structure (POSCAR):
```
LaBiSb2Pt
1.0
5.268 0.000 0.000
0.000 5.268 0.000
0.000 0.000 5.545
La Bi Sb Pt
1 1 2 1
Cartesian
0.000 0.000 0.000
2.634 2.634 0.000
0.000 2.634 2.773
2.634 0.000 2.773
2.634 2.634 2.773
```



## Ac6Pr5Nd2 (GGA-PBE)

Data for a relaxed structure of Ac6Pr5Nd2.

Output
- Volume: 40.7 Å³/atom
- Energy of formation from the pure elements: 1.68 eV/f.u.
- DOS(E_F): 39.3 states/eV per cell
- SG: Pbam, No. 55

Structure (POSCAR):
```
Ac6Pr5Nd2
1.0
11.554 0.000 0.000
0.000 24.105 0.000
0.000 0.000 3.801
Ac Pr Nd
12 10 4
Cartesian
0.244 2.686 0.000
1.669 9.274 0.000
1.914 15.267 1.901
3.863 3.215 1.901
4.108 21.327 0.000
5.534 14.739 0.000
6.021 9.366 0.000
7.446 2.778 0.000
7.691 20.891 1.901
9.640 8.838 1.901
9.885 14.831 0.000
11.311 21.419 0.000
0.000 12.053 1.901
0.996 5.987 1.901
1.930 24.010 1.901
3.847 11.957 1.901
4.781 18.040 1.901
5.777 0.000 1.901
6.773 6.065 1.901
7.708 12.149 1.901
9.624 0.096 1.901
10.559 18.118 1.901
1.896 18.532 0.000
3.881 6.479 0.000
7.674 17.626 0.000
9.658 5.574 0.000
```



## PmMgZnAu (GGA-PBE)

Data for a relaxed structure of PmMgZnAu.

Output
- Volume: 21.5 Å³/atom
- Energy of formation from the pure elements: -2.20 eV/f.u.
- DOS(E_F): 2.5 states/eV per cell
- SG: F-43m, No. 216

Structure (POSCAR):
```
PmMgZnAu
1.0
0.000 3.503 3.503
3.503 0.000 3.503
3.503 3.503 0.000
Pm Mg Zn Au
1 1 1 1
Cartesian
0.000 0.000 0.000
3.503 3.503 3.503
5.254 5.254 5.254
1.751 1.751 1.751
```



## Pm3Ho4Pt4 (GGA-PBE)

Data for a relaxed structure of Pm3Ho4Pt4.

Output
- Volume: 25.3 Å³/atom
- Energy of formation from the pure elements: -9.90 eV/f.u.
- DOS(E_F): 11.4 states/eV per cell
- SG: Immm, No. 71

Structure (POSCAR):
```
Pm3Ho4Pt4
1.0
-2.289 3.913 7.778
2.289 -3.913 7.778
2.289 3.913 -7.778
Pm Ho Pt
3 4 4
Cartesian
0.000 0.000 0.000
2.289 0.000 6.195
0.000 3.913 1.583
2.289 1.646 -2.664
2.289 1.646 2.664
0.000 2.266 5.114
0.000 2.266 10.441
0.000 0.000 3.256
2.289 2.456 0.000
0.000 1.456 7.778
0.000 0.000 12.299
```



## Ti3CoCl (GGA-PBE)

Data for a relaxed structure of Ti3CoCl.

Output
- Volume: 19.4 Å³/atom
- Raw formation energy: 0.28 eV/atom
- DOS(E_F): 3.0 states/eV per cell
- Polymorph energy (0 for the lowest one): 0.00 eV per formula unit
- SG: Pm-3m, No. 221

Structure (POSCAR):
```
Ti3CoCl
1.0
4.592 0.000 0.000
0.000 4.592 0.000
0.000 0.000 4.592
Ti Co Cl
3 1 1
Cartesian
0.000 0.000 2.296
0.000 2.296 0.000
2.296 0.000 0.000
0.000 0.000 0.000
2.296 2.296 2.296
```



## ZnMoBr (GGA-PBE)

Data for a relaxed structure of ZnMoBr.

Output
- Volume: 22.5 Å³/atom
- Raw formation energy: 0.16 eV/atom
- DOS(E_F): 1.8 states/eV per cell
- Polymorph energy (0 for the lowest one): 0.31 eV per formula unit
- SG: Cm, No. 8

Structure (POSCAR):
```
ZnMoBr
1.0
6.488 -1.608 0.000
6.488 1.608 0.000
-5.312 0.000 6.462
Zn Mo Br
2 2 2
Cartesian
0.000 0.000 0.000
6.797 0.000 2.154
-1.500 0.000 4.996
0.596 0.000 4.339
3.542 0.000 3.565
10.010 0.000 0.538
```



## Ca5Cd4Pt (GGA-PBE)

Data for a relaxed structure of Ca5Cd4Pt.

Output
- Volume: 26.7 Å³/atom
- Energy of formation from the pure elements: -4.58 eV/f.u.
- DOS(E_F): 8.5 states/eV per cell
- SG: P4/mmm, No. 123

Structure (POSCAR):
```
Ca5Cd4Pt
1.0
3.703 0.000 0.000
0.000 3.703 0.000
0.000 0.000 19.472
Ca Cd Pt
5 4 1
Cartesian
0.000 0.000 0.000
0.000 0.000 4.035
0.000 0.000 8.114
0.000 0.000 11.358
0.000 0.000 15.437
1.852 1.852 2.014
1.852 1.852 6.047
1.852 1.852 13.425
1.852 1.852 17.458
1.852 1.852 9.736
```



## LiBW3 (GGA-PBE)

Data for a relaxed structure of LiBW3.

Output
- Volume: 14.9 Å³/atom
- Energy of formation from the pure elements: 2.94 eV/f.u.
- DOS(E_F): 5.4 states/eV per cell
- Polymorph energy (0 for the lowest one): 0.00 eV per formula unit
- SG: Pm-3m, No. 221

Structure (POSCAR):
```
LiBW3
1.0
4.205 0.000 0.000
0.000 4.205 0.000
0.000 0.000 4.205
Li B W
1 1 3
Cartesian
0.000 0.000 0.000
2.103 2.103 2.103
0.000 2.103 2.103
2.103 0.000 2.103
2.103 2.103 0.000
```



Number 1: DFT total energy -4.454 eV per atom. Number 2: DFT total energy -4.567 eV per atom. Number 3: DFT total energy -5.750 eV per atom. Number 4: DFT total energy -2.719 eV per atom. Number 5: DFT total energy -4.848 eV per atom. Number 6: DFT total energy -4.339 eV per atom. Number 7: DFT total energy -3.273 eV per atom. Number 8: DFT total energy -6.057 eV per atom. Number 9: DFT total energy -6.244 eV per atom. Number 10: DFT total energy -4.429 eV per atom. Number 11: DFT total energy -2.429 eV per atom. Number 12: DFT total energy -8.902 eV per atom.